DyHo12In6 after structural relaxation, computed with PBE.

Geometry as POSCAR:
```
DyHo12In6
1.0
8.085 0.670 0.803
-0.564 8.093 0.803
-0.564 -0.657 8.107
Dy Ho In
1 12 6
direct
0.000 0.000 0.000
0.803 0.529 0.438
0.438 0.803 0.529
0.529 0.438 0.803
0.197 0.471 0.562
0.562 0.197 0.471
0.471 0.562 0.197
0.038 0.154 0.375
0.846 0.625 0.962
0.625 0.962 0.846
0.962 0.846 0.625
0.154 0.375 0.038
0.375 0.038 0.154
0.721 0.879 0.263
0.737 0.279 0.121
0.121 0.737 0.279
0.279 0.121 0.737
0.263 0.721 0.879
0.879 0.263 0.721
```

Computed properties:
**Space-group type**: R-3
**Formation energy**: -0.20 eV per atom